Entry 1:
Entry from Alexandria via LeMat-Bulk: a relaxed structure of FeAgTeI2 (PBE).

```
FeAgTeI2
1.0
-1.254 4.425 -3.130
-3.779 -3.016 -2.751
-3.308 1.282 3.139
I Te Ag Fe
2 1 1 1
Cartesian
-1.890 -1.508 -1.375
-0.627 2.213 -1.565
-1.654 0.641 1.570
-4.171 1.346 -1.371
0.000 0.000 0.000
```

Energy relative to the elements, uncorrected in eV per atom: 0.4841

---

Entry 2:
Entry from Alexandria via LeMat-Bulk: a relaxed structure of FeAgTeI2 (PBE).

```
FeAgTeI2
1.0
-1.200 4.867 2.401
-1.736 -2.674 4.553
5.202 0.236 2.122
Te Ag I Fe
1 1 2 1
Cartesian
2.601 0.118 1.061
0.000 0.000 0.000
-0.600 2.434 1.200
-0.868 -1.337 2.276
1.133 1.215 4.538
```

Energy relative to the elements, uncorrected in eV per atom: 0.8765

---

Entry 3:
Entry from Alexandria via LeMat-Bulk: a relaxed structure of TlFeAgI4 (PBE).

```
TlFeAgI4
1.0
7.515 0.000 0.000
0.000 7.515 0.000
-3.757 -3.757 5.809
Ag Tl I Fe
1 1 4 1
Cartesian
3.757 3.757 0.000
0.000 0.000 0.000
5.664 2.386 1.633
-1.372 -1.907 4.176
1.851 5.129 1.633
1.372 1.907 4.176
0.000 3.757 2.904
```

Energy relative to the elements, uncorrected in eV per atom: -0.2776

---

Entry 4:
Entry from Alexandria via LeMat-Bulk: a relaxed structure of TlFe2AgI8 (PBE).

```
TlFe2AgI8
1.0
7.401 -0.438 0.028
3.025 6.768 0.028
0.504 0.306 10.070
I Ag Fe Tl
8 1 2 1
Cartesian
3.242 1.968 5.601
7.688 4.668 4.524
6.701 1.646 7.880
4.229 4.991 2.245
7.864 4.775 0.212
3.066 1.862 9.913
6.379 1.450 2.245
4.551 5.186 7.880
0.000 0.000 0.000
4.295 2.608 7.818
6.635 4.028 2.307
0.252 0.153 5.035
```

Energy relative to the elements, uncorrected in eV per atom: -0.2502

---

Entry 5:
Entry from Alexandria via LeMat-Bulk: a relaxed structure of FeAgWI2 (PBE).

```
FeAgWI2
1.0
-4.099 -3.341 -0.103
1.743 -2.253 3.722
-2.703 3.217 3.213
Fe I W Ag
1 2 1 1
Cartesian
0.872 -1.126 1.861
-2.049 -1.671 -0.051
-1.351 1.608 1.606
-2.529 -1.188 3.416
0.000 0.000 0.000
```

Energy relative to the elements, uncorrected in eV per atom: 2.0502

---

Entry 6:
Entry from Alexandria via LeMat-Bulk: a relaxed structure of ZnFeAgI2 (PBE).

```
ZnFeAgI2
1.0
5.422 0.000 0.000
0.000 4.748 0.000
0.000 0.000 5.422
I Fe Zn Ag
2 1 1 1
Cartesian
0.000 0.000 2.711
2.711 0.000 0.000
0.000 0.000 0.000
0.000 2.374 0.000
2.711 2.374 2.711
```

Energy relative to the elements, uncorrected in eV per atom: 0.4635

---

Entry 7:
Entry from Alexandria via LeMat-Bulk: a relaxed structure of In4FeAg2 (PBE).

```
In4FeAg2
1.0
-3.335 -0.732 -3.662
3.683 0.166 -3.387
1.020 -7.071 -2.938
Ag In Fe
2 4 1
Cartesian
0.995 -5.754 -6.601
0.374 -1.882 -3.386
1.842 0.083 -1.694
0.660 -3.062 -6.834
-1.667 -0.366 -1.831
0.709 -4.575 -3.154
0.000 0.000 0.000
```

Energy of formation in eV per atom: 0.241

---

Entry 8:
Entry from Alexandria via LeMat-Bulk: a relaxed structure of InFe4Ag (PBE).

```
InFe4Ag
1.0
0.000 3.507 3.507
3.507 0.000 3.507
3.507 3.507 0.000
In Fe Ag
1 4 1
Cartesian
5.260 5.260 5.260
4.381 4.381 2.632
2.632 2.632 2.632
4.381 2.632 4.381
2.632 4.381 4.381
0.000 0.000 0.000
```

Energy of formation in eV per atom: 0.225

---

Entry 9:
Entry from Alexandria via LeMat-Bulk: a relaxed structure of InFeAg (PBE).

```
InFeAg
1.0
4.555 0.000 0.000
-2.278 3.945 0.000
0.000 0.000 2.925
Fe Ag In
1 1 1
Cartesian
0.000 2.630 0.979
0.000 0.000 2.898
2.278 1.315 1.975
```

Energy of formation in eV per atom: 0.347

---

Entry 10:
Entry from Alexandria via LeMat-Bulk: a relaxed structure of InFeAg (PBE).

```
InFeAg
1.0
-2.095 5.404 -2.480
-4.516 4.220 -1.242
0.208 1.926 2.247
Ag In Fe
1 1 1
Cartesian
0.129 2.015 2.178
-2.003 4.421 0.312
-4.322 7.039 -1.718
```

Energy of formation in eV per atom: 0.274

---

Entry 11:
Entry from Alexandria via LeMat-Bulk: a relaxed structure of InFe3Ag (PBE).

```
InFe3Ag
1.0
4.736 0.000 0.000
0.000 4.736 0.000
0.000 0.000 4.736
Fe In Ag
3 1 1
Cartesian
2.368 0.000 0.000
0.000 2.368 0.000
0.000 0.000 2.368
2.368 2.368 2.368
0.000 0.000 0.000
```

Energy of formation in eV per atom: 1.343

---

Entry 12:
Entry from Alexandria via LeMat-Bulk: a relaxed structure of InFeAg (PBE).

```
InFeAg
1.0
-0.312 2.483 3.636
0.305 -1.873 3.984
3.566 0.706 2.503
Fe In Ag
1 1 1
Cartesian
2.669 0.986 7.593
0.000 0.000 0.000
1.779 0.658 5.062
```

Energy of formation in eV per atom: 0.475

---

Entry 13:
Entry from Alexandria via LeMat-Bulk: a relaxed structure of InFeAg3 (PBE).

```
InFeAg3
1.0
-0.406 4.325 -2.336
-4.909 -0.475 -0.027
-0.248 2.323 4.344
In Ag Fe
1 3 1
Cartesian
-2.782 3.086 0.991
-2.455 -0.238 -0.013
-0.203 2.163 -1.168
-0.124 1.161 2.172
0.000 0.000 0.000
```

Energy of formation in eV per atom: 0.785

---

Entry 14:
Entry from Alexandria via LeMat-Bulk: a relaxed structure of K2InFeAg (PBE).

```
K2InFeAg
1.0
6.138 0.000 0.000
0.000 6.138 0.000
0.000 0.000 5.097
K In Ag Fe
2 1 1 1
Cartesian
0.000 3.069 0.000
3.069 0.000 0.000
0.000 0.000 2.549
3.069 3.069 2.549
0.000 0.000 0.000
```

Energy of formation in eV per atom: 0.666

---

Entry 15:
Entry from Alexandria via LeMat-Bulk: a relaxed structure of La2InFeAg (PBE).

```
La2InFeAg
1.0
-2.610 -2.662 -3.599
3.185 -4.031 0.672
-3.055 -1.819 3.561
In La Ag Fe
1 2 1 1
Cartesian
-1.527 -0.910 1.781
1.593 -2.016 0.336
-1.305 -1.331 -1.799
-1.240 -4.256 0.317
0.000 0.000 0.000
```

Energy of formation in eV per atom: -0.149

---

Entry 16:
Entry from Alexandria via LeMat-Bulk: a relaxed structure of MnInFe2Ag (PBE).

```
MnInFe2Ag
1.0
-3.904 -2.280 -1.592
-1.353 -0.982 4.724
-2.462 4.110 0.150
In Mn Fe Ag
1 1 2 1
Cartesian
-0.676 -0.491 2.362
-3.859 0.424 1.641
-1.952 -1.140 -0.796
-1.231 2.055 0.075
0.000 0.000 0.000
```

Energy of formation in eV per atom: 1.392

---

Entry 17:
Entry from Alexandria via LeMat-Bulk: a relaxed structure of InFeNiAg2 (PBE).

```
InFeNiAg2
1.0
4.795 0.000 0.000
0.000 4.921 0.000
0.000 0.000 4.795
In Ag Fe Ni
1 2 1 1
Cartesian
0.000 2.461 0.000
0.000 0.000 2.398
2.398 0.000 0.000
0.000 0.000 0.000
2.398 2.461 2.398
```

Energy of formation in eV per atom: 1.142

---

no.,calculated volume (Å³/f.u.),final energy (eV/atom)
1,146.6,-3.027
2,173.7,-2.635
3,328.0,-3.118
4,517.6,-3.129
5,131.1,-3.423
6,139.6,-2.674
7,172.1,-3.347
8,86.2,-6.348
9,52.6,-4.337
10,52.3,-4.410
11,106.2,-4.852
12,60.8,-4.209
13,120.0,-3.166
14,192.1,-2.583
15,135.1,-4.930
16,115.1,-4.945
17,113.2,-3.395